# PBE NaPdAu2, relaxed
data_NaPdAu2
_chemical_formula_sum 'Na1 Pd1 Au2'
_space_group_name_H-M_alt 'P 1'
_space_group_IT_number 1
_cell_length_a 2.892
_cell_length_b 2.892
_cell_length_c 8.652
_cell_angle_alpha 90.00
_cell_angle_beta 90.00
_cell_angle_gamma 90.00
loop_
_space_group_symop_operation_xyz
'x,y,z'
loop_
_atom_site_label
_atom_site_type_symbol
_atom_site_fract_x
_atom_site_fract_y
_atom_site_fract_z
Au1 Au 0.000 0.000 0.233
Au2 Au 0.000 0.000 0.767
Na1 Na 0.500 0.500 0.500
Pd1 Pd 0.500 0.500 0.000
# Calculated volume: 72 Å³ per cell
# E_form: -0.157 eV per atom
# Fermi-level density of states: 0.59 states/eV/atom
# Spin magnetization: 0.00 μB per cell
# Crystal system: tetragonal
# Symmetry: P4/mmm, No. 123

# PBE Ca2ScRhO6, relaxed
data_Ca2ScRhO6
_chemical_formula_sum 'Ca4 Sc2 Rh2 O12'
_space_group_name_H-M_alt 'P 1'
_space_group_IT_number 1
_cell_length_a 5.486
_cell_length_b 5.659
_cell_length_c 7.850
_cell_angle_alpha 90.00
_cell_angle_beta 90.34
_cell_angle_gamma 90.00
loop_
_space_group_symop_operation_xyz
'x,y,z'
loop_
_atom_site_label
_atom_site_type_symbol
_atom_site_fract_x
_atom_site_fract_y
_atom_site_fract_z
Sc1 Sc 0.000 0.500 0.500
Sc2 Sc 0.500 0.000 0.000
O1 O 0.095 0.470 0.757
O2 O 0.405 0.970 0.743
O3 O 0.693 0.290 0.551
O4 O 0.792 0.803 0.549
O5 O 0.292 0.697 0.049
O6 O 0.193 0.210 0.051
O7 O 0.595 0.030 0.257
O8 O 0.708 0.303 0.951
O9 O 0.208 0.197 0.451
O10 O 0.307 0.710 0.449
O11 O 0.905 0.530 0.243
O12 O 0.807 0.790 0.949
Ca1 Ca 0.514 0.555 0.751
Ca2 Ca 0.986 0.055 0.749
Ca3 Ca 0.014 0.945 0.251
Ca4 Ca 0.486 0.445 0.249
Rh1 Rh 0.000 0.500 0.000
Rh2 Rh 0.500 0.000 0.500
# ΔE_f (raw): -2.33 eV per atom
# Calculated volume: 244 Å³ per cell
# Fermi-level density of states: 0.40 states/eV/atom
# Spin magnetization: 4.08 μB per cell
# Crystal system: monoclinic
# Symmetry: P2_1/c, No. 14

> What is the formula in the second record?

Ca2ScRhO6